## TlTc2As (PBEsol)

Data for an optimized crystal structure of TlTc2As.

Computed properties:
As for the energy above the most stable polymorph in this dataset: 76 kJ/mol of formula units. As for the space-group type: Cmmm. The crystal system is orthorhombic. The value obtained for the raw total energy is -7.07 eV per atom. For the calculated formation energy, the calculation gives 494.2 meV per atom.

Cell lengths 2.9856, 2.9856, 8.4110 Å; angles 90.00, 90.00, 117.44 degrees
Closest atoms and distances in Å follow each position.
Positions (direct):
Tl: 0.0000 0.0000 0.0000  4 Tc 2.82, 6 Tl 2.99-3.10
Tc: 0.5000 0.5000 0.2806  2 As 2.41
Tc: 0.5000 0.5000 0.7194  2 As 2.41
As: 0.0000 0.0000 0.5000  4 Tc 2.41